Compound: HoZr2Cu
Source: the Alexandria database
Functional: PBE
Structure: relaxed

Lattice parameters (Å, degrees): 3.286 3.286 8.060 90.00 90.00 90.00
Fractional positions:
Cu 0.500 0.500 0.000
Ho 0.500 0.500 0.500
Zr 0.000 0.000 0.792
Zr 0.000 0.000 0.208

Values from the calculation:
E_form: 0.0180 eV per atom
Density of states at the Fermi level: 5.4 states/eV/cell
Polymorph energy (0 for the lowest one): 0.00 eV/f.u.

=====

Compound: HoZrCu2
Source: the Alexandria database
Functional: PBE
Structure: relaxed

Lattice parameters (Å, degrees): 4.754 4.754 4.754 60.00 60.00 60.00
Site moments in Bohr magnetons follow the coordinates.
Fractional positions:
Cu 0.250 0.250 0.250  0.04
Cu 0.750 0.750 0.750  0.04
Ho 0.000 0.000 0.000  0.18
Zr 0.500 0.500 0.500  0.36

Values from the calculation:
E_form: -0.1201 eV per atom
Density of states at the Fermi level: 4.7 states/eV/cell
Polymorph energy (0 for the lowest one): 0.14 eV/f.u.

=====

Compound: HoZrCu2
Source: the Alexandria database
Functional: PBE
Structure: relaxed

Lattice parameters (Å, degrees): 3.365 3.365 6.728 90.00 90.00 90.00
Site moments in Bohr magnetons follow the coordinates.
Fractional positions:
Cu 0.000 0.000 0.775  0.05
Cu 0.000 0.000 0.225  0.05
Ho 0.500 0.500 0.500  0.12
Zr 0.500 0.500 0.000  0.34

Values from the calculation:
E_form: -0.1556 eV per atom
Density of states at the Fermi level: 4.3 states/eV/cell
Polymorph energy (0 for the lowest one): 0.00 eV/f.u.

=====

Compound: HoZrCu
Source: the Alexandria database
Functional: PBE
Structure: relaxed

Lattice parameters (Å, degrees): 3.335 3.335 6.289 105.38 105.38 90.00
Fractional positions:
Zr 0.311 0.311 0.622
Ho 0.010 0.010 0.020
Cu 0.679 0.679 0.358

Values from the calculation:
E_form: -0.0816 eV per atom
Density of states at the Fermi level: 3.9 states/eV/cell
Polymorph energy (0 for the lowest one): 0.09 eV/f.u.

=====

Compound: HoZr2Cu
Source: the Alexandria database
Functional: PBE
Structure: relaxed

Lattice parameters (Å, degrees): 3.130 3.130 10.920 81.76 81.76 60.00
Fractional positions:
Cu 0.500 0.500 0.500
Ho 0.000 0.000 0.000
Zr 0.100 0.100 0.701
Zr 0.900 0.900 0.299

Values from the calculation:
E_form: 0.3361 eV per atom
Density of states at the Fermi level: 4.9 states/eV/cell
Polymorph energy (0 for the lowest one): 1.27 eV/f.u.

=====

Compound: Ho5ZrCu4
Source: the Alexandria database
Functional: PBE
Structure: relaxed

Lattice parameters (Å, degrees): 3.418 3.418 18.629 90.00 90.00 90.00
Fractional positions:
Ho 0.500 0.500 0.125
Ho 0.500 0.500 0.312
Ho 0.500 0.500 0.500
Ho 0.500 0.500 0.688
Ho 0.500 0.500 0.875
Zr 0.000 0.000 0.000
Cu 0.000 0.000 0.219
Cu 0.000 0.000 0.407
Cu 0.000 0.000 0.593
Cu 0.000 0.000 0.781

Values from the calculation:
E_form: -0.1922 eV per atom
Density of states at the Fermi level: 7.5 states/eV/cell

=====

Compound: HoZrCu
Source: the Alexandria database
Functional: PBE
Structure: relaxed

Lattice parameters (Å, degrees): 4.408 3.412 8.845 78.88 90.00 90.00
Fractional positions:
Cu 0.750 0.458 0.084
Cu 0.250 0.542 0.916
Zr 0.750 0.288 0.425
Zr 0.250 0.712 0.575
Ho 0.750 0.097 0.807
Ho 0.250 0.903 0.193

Values from the calculation:
E_form: -0.1124 eV per atom
Density of states at the Fermi level: 5.8 states/eV/cell
Polymorph energy (0 for the lowest one): 0.00 eV/f.u.

=====

Compound: HoZrCu
Source: the Alexandria database
Functional: PBE
Structure: relaxed

Lattice parameters (Å, degrees): 4.052 4.433 4.433 120.00 90.00 90.00
Fractional positions:
Cu 0.167 0.333 0.667
Ho 0.667 0.667 0.333
Zr 0.167 0.000 0.000

Values from the calculation:
E_form: 0.1392 eV per atom
Density of states at the Fermi level: 3.3 states/eV/cell
Polymorph energy (0 for the lowest one): 0.75 eV/f.u.

=====

Compound: Cu2I3
Source: the Alexandria database
Functional: PBE
Structure: relaxed

Lattice parameters (Å, degrees): 7.235 7.335 7.339 60.02 80.64 71.01
Fractional positions:
Cu 0.998 0.178 0.831
Cu 0.498 0.009 0.169
Cu 0.500 0.331 0.497
Cu 0.000 0.828 0.503
I 0.873 0.544 0.833
I 0.878 0.872 0.163
I 0.378 0.035 0.837
I 0.881 0.209 0.495
I 0.373 0.378 0.167
I 0.381 0.704 0.505

Values from the calculation:
Density of states at the Fermi level: 10.2 states/eV/cell
Polymorph energy (0 for the lowest one): 0.00 eV/f.u.
Energy relative to the elements, uncorrected: -0.155 eV/atom

=====

Compound: CuI3
Source: the Alexandria database
Functional: PBE
Structure: relaxed

Lattice parameters (Å, degrees): 8.823 6.714 6.714 123.44 90.00 90.00
Fractional positions:
Cu 0.750 0.332 0.332
Cu 0.250 0.668 0.668
I 0.750 0.718 0.718
I 0.250 0.282 0.282
I 0.750 0.966 0.337
I 0.250 0.034 0.663
I 0.250 0.663 0.034
I 0.750 0.337 0.966

Values from the calculation:
Density of states at the Fermi level: 3.9 states/eV/cell
Energy relative to the elements, uncorrected: 0.073 eV/atom

=====

Compound: Cu5I6
Source: the Alexandria database
Functional: PBE
Structure: relaxed

Lattice parameters (Å, degrees): 7.352 7.156 7.063 81.91 74.09 59.09
Fractional positions:
Cu 0.500 0.000 0.500
Cu 0.335 0.331 0.000
Cu 0.665 0.669 0.000
Cu 0.278 0.445 0.500
Cu 0.722 0.555 0.500
I 0.677 0.000 0.757
I 0.323 0.000 0.243
I 0.355 0.657 0.754
I 0.989 0.657 0.246
I 0.645 0.343 0.246
I 0.011 0.343 0.754

Values from the calculation:
Density of states at the Fermi level: 9.2 states/eV/cell
Energy relative to the elements, uncorrected: -0.023 eV/atom

=====

Compound: Cu2I3
Source: the Alexandria database
Functional: PBE
Structure: relaxed

Lattice parameters (Å, degrees): 3.948 7.537 11.391 95.23 90.00 105.19
Fractional positions:
Cu 0.071 0.142 0.285
Cu 0.929 0.858 0.715
Cu 0.350 0.700 0.088
Cu 0.650 0.300 0.912
I 0.894 0.788 0.243
I 0.106 0.212 0.757
I 0.849 0.698 0.919
I 0.151 0.302 0.081
I 0.364 0.728 0.593
I 0.636 0.272 0.407

Values from the calculation:
Density of states at the Fermi level: 9.6 states/eV/cell
Polymorph energy (0 for the lowest one): 0.30 eV/f.u.
Energy relative to the elements, uncorrected: -0.096 eV/atom

=====

Compound: Cu3I4
Source: the Alexandria database
Functional: PBE
Structure: relaxed

Lattice parameters (Å, degrees): 5.989 5.989 5.989 90.00 90.00 90.00
Fractional positions:
Cu 0.000 0.000 0.500
Cu 0.500 0.000 0.000
Cu 0.000 0.500 0.000
I 0.254 0.254 0.746
I 0.746 0.746 0.746
I 0.254 0.746 0.254
I 0.746 0.254 0.254

Values from the calculation:
Density of states at the Fermi level: 7.1 states/eV/cell
Polymorph energy (0 for the lowest one): 0.00 eV/f.u.
Energy relative to the elements, uncorrected: -0.174 eV/atom

=====

Compound: Cu2I5
Source: the Alexandria database
Functional: PBE
Structure: relaxed

Lattice parameters (Å, degrees): 8.085 8.085 8.085 102.27 102.27 125.09
Fractional positions:
Cu 0.250 0.750 0.500
Cu 0.750 0.250 0.500
I 0.677 0.999 0.676
I 0.323 0.001 0.324
I 0.001 0.677 0.677
I 0.999 0.323 0.323
I 0.000 0.000 0.000

Values from the calculation:
Density of states at the Fermi level: 2.9 states/eV/cell
Energy relative to the elements, uncorrected: -0.069 eV/atom

=====

Compound: Cu4I
Source: the Alexandria database
Functional: PBE
Structure: relaxed

Lattice parameters (Å, degrees): 4.934 4.934 4.934 90.00 90.00 90.00
Fractional positions:
I 0.500 0.500 0.500
Cu 0.000 0.000 0.000
Cu 0.500 0.000 0.500
Cu 0.000 0.500 0.500
Cu 0.500 0.500 0.000

Values from the calculation:
Density of states at the Fermi level: 2.6 states/eV/cell
Energy relative to the elements, uncorrected: 1.299 eV/atom

=====

Compound: CuI3
Source: the Alexandria database
Functional: PBE
Structure: relaxed

Lattice parameters (Å, degrees): 5.570 5.570 5.570 60.00 60.00 60.00
Fractional positions:
I 0.250 0.250 0.250
I 0.750 0.750 0.750
I 0.500 0.500 0.500
Cu 0.000 0.000 0.000

Values from the calculation:
Density of states at the Fermi level: 5.4 states/eV/cell
Energy relative to the elements, uncorrected: 0.689 eV/atom

=====

Compound: Cu2I3
Source: the Alexandria database
Functional: PBE
Structure: relaxed

Lattice parameters (Å, degrees): 7.023 7.023 7.616 62.54 62.54 60.00
Fractional positions:
I 0.069 0.750 0.750
I 0.750 0.431 0.750
I 0.431 0.069 0.750
I 0.250 0.569 0.250
I 0.569 0.931 0.250
I 0.931 0.250 0.250
Cu 0.841 0.841 0.478
Cu 0.341 0.341 0.978
Cu 0.159 0.159 0.522
Cu 0.659 0.659 0.022

Values from the calculation:
Density of states at the Fermi level: 13.8 states/eV/cell
Polymorph energy (0 for the lowest one): 0.78 eV/f.u.
Energy relative to the elements, uncorrected: 0.001 eV/atom

=====

Compound: Cu3I4
Source: the Alexandria database
Functional: PBE
Structure: relaxed

Lattice parameters (Å, degrees): 3.980 7.885 7.559 85.18 105.27 90.00
Fractional positions:
Cu 0.000 0.000 0.000
Cu 0.309 0.437 0.617
Cu 0.691 0.563 0.383
I 0.132 0.389 0.264
I 0.868 0.611 0.736
I 0.390 0.121 0.779
I 0.610 0.879 0.221

Values from the calculation:
Density of states at the Fermi level: 6.4 states/eV/cell
Polymorph energy (0 for the lowest one): 0.40 eV/f.u.
Energy relative to the elements, uncorrected: -0.117 eV/atom

=====

Compound: CuI3
Source: the Alexandria database
Functional: PBE
Structure: relaxed

Lattice parameters (Å, degrees): 3.919 8.964 6.662 132.28 107.11 90.00
Fractional positions:
I 0.311 0.728 0.622
I 0.500 0.417 0.000
I 0.689 0.106 0.378
Cu 0.000 0.917 0.000

Values from the calculation:
Density of states at the Fermi level: 1.5 states/eV/cell
Energy relative to the elements, uncorrected: 0.018 eV/atom

=====

Compound: CuI3
Source: the Alexandria database
Functional: PBE
Structure: relaxed

Lattice parameters (Å, degrees): 7.770 7.770 7.469 58.66 58.66 90.00
Site moments in Bohr magnetons follow the coordinates.
Fractional positions:
I 0.523 0.125 0.250  0.27
I 0.227 0.625 0.250  0.28
I 0.375 0.477 0.750  0.27
I 0.875 0.773 0.750  0.28
I 0.000 0.000 0.000  0.55
I 0.750 0.250 0.500  0.53
Cu 0.500 0.500 0.000  0.21
Cu 0.250 0.750 0.500  0.21

Values from the calculation:
Density of states at the Fermi level: 11.2 states/eV/cell
Energy relative to the elements, uncorrected: 0.160 eV/atom